# 1
Below is an optimized crystal structure of Al3Zn, with properties calculated at the PBEsol level.

Cell lengths 2.740, 4.921, 9.611 Å; angles 90.00, 90.00, 90.00 degrees
Space group Cmmm (No. 65)
Inequivalent atoms, fractional coordinates:
Al (0.000, 0.000, 0.000)
Al (0.000, 0.500, 0.256)
Zn (0.000, 0.000, 0.500)

Summary:
volume	16.20	Å³ per atom
crystal system	orthorhombic
E_tot	-3.379	eV/atom
formation enthalpy at 0 K	85	meV/atom

# 2
Below is an optimized crystal structure of Al3Zn, with properties calculated at the PBEsol level.

Cell lengths 9.298, 2.837, 4.870 Å; angles 90.00, 101.03, 90.00 degrees
Space group C2/m (No. 12)
Inequivalent atoms, fractional coordinates:
Al (0.000, 0.000, 0.000)
Al (0.247, 0.000, 0.748)
Zn (0.000, 0.500, 0.500)

Summary:
volume	15.76	Å³ per atom
crystal system	monoclinic
E_tot	-3.445	eV/atom
formation enthalpy at 0 K	19	meV/atom

# 3
Below is an optimized crystal structure of AlZn5, with properties calculated at the PBEsol level.

Cell lengths 2.744, 2.744, 11.576 Å; angles 90.00, 90.00, 90.00 degrees
Space group P4/mmm (No. 123)
Inequivalent atoms, fractional coordinates:
Al (0.000, 0.000, 0.000)
Zn (0.000, 0.000, 0.337)
Zn (0.500, 0.500, 0.173)
Zn (0.500, 0.500, 0.500)

Summary:
volume	14.53	Å³ per atom
crystal system	tetragonal
relative energy among the computed polymorphs	0.000	eV per atom
E_tot	-1.980	eV/atom
formation enthalpy at 0 K	21	meV/atom

Question: The lowest E_tot belongs to which entry?
Answer: number 2

Question: What is the formula in the second record?
Answer: Al3Zn